1.
Computed, not measured: a geometry-optimized CuAgHg2 structure at the PBE-GGA level of DFT.

Cell: 4.242 4.242 10.015 Å, 77.77 77.77 90.00°
Sites, in units of the cell vectors:
Cu  0.500  0.500  0.000
Cu  0.250  0.750  0.500
Hg  0.613  0.125  0.250
Hg  0.137  0.625  0.250
Hg  0.375  0.387  0.750
Hg  0.875  0.863  0.750
Ag  0.000  0.000  0.000
Ag  0.750  0.250  0.500

Summary:
Its crystal system is tetragonal. Its energy of formation from the pure elements is 0.285 eV/atom. The calculation puts the size of the total moment at 0.00 μB/f.u. The energy above the lowest structure with this stoichiometry comes out at 59.9 kJ/mol of formula units.

---

2.
Computed, not measured: a geometry-optimized CuAg2Hg structure at the PBE-GGA level of DFT.

Cell: 3.011 3.011 9.402 Å, 80.79 80.79 60.00°
Sites, in units of the cell vectors:
Cu  0.667  0.667  0.000
Ag  0.074  0.074  0.777
Ag  0.259  0.259  0.223
Hg  0.500  0.500  0.500

Summary:
Its crystal system is trigonal. Its energy of formation from the pure elements is 0.144 eV/atom. The calculation puts the size of the total moment at 0.00 μB/f.u.

---

3.
Computed, not measured: a geometry-optimized CuAg2Hg structure at the PBE-GGA level of DFT.

Cell: 3.130 3.130 7.180 Å, 90.00 90.00 90.00°
Sites, in units of the cell vectors:
Ag  0.000  0.000  0.013
Ag  0.500  0.500  0.273
Cu  0.000  0.000  0.488
Hg  0.500  0.500  0.725

Summary:
Its crystal system is tetragonal. Its energy of formation from the pure elements is 0.117 eV/atom. The calculation puts the size of the total moment at 0.00 μB/f.u.

---

4.
Computed, not measured: a geometry-optimized CuAg2Hg structure at the PBE-GGA level of DFT.

Cell: 5.037 5.037 2.975 Å, 90.00 90.00 109.95°
Sites, in units of the cell vectors:
Ag  0.000  0.000  0.000
Ag  0.500  0.500  0.000
Cu  0.500  0.000  0.500
Hg  0.000  0.500  0.500

Summary:
Its crystal system is orthorhombic. Its energy of formation from the pure elements is 0.161 eV/atom. The calculation puts the size of the total moment at 0.00 μB/f.u.

---

5.
Computed, not measured: a geometry-optimized CuAg2Hg structure at the PBE-GGA level of DFT.

Cell: 5.192 5.192 4.795 Å, 74.37 74.37 34.71°
Sites, in units of the cell vectors:
Ag  0.984  0.984  0.015
Ag  0.516  0.516  0.485
Cu  0.250  0.250  0.250
Hg  0.750  0.750  0.750

Summary:
Its crystal system is monoclinic. Its energy of formation from the pure elements is 0.122 eV/atom. The calculation puts the size of the total moment at 0.00 μB/f.u.

---

6.
Computed, not measured: a geometry-optimized CuAg2Hg structure at the PBE-GGA level of DFT.

Cell: 5.128 5.128 5.128 Å, 133.23 133.23 68.29°
Sites, in units of the cell vectors:
Ag  0.000  0.000  0.000
Ag  0.500  0.500  0.000
Cu  0.250  0.750  0.500
Hg  0.750  0.250  0.500

Summary:
Its crystal system is tetragonal. Its energy of formation from the pure elements is 0.122 eV/atom. The calculation puts the size of the total moment at 0.00 μB/f.u.

---

7.
Computed, not measured: a geometry-optimized Ho4CuAg2Hg structure at the PBE-GGA level of DFT.

Cell: 5.098 5.098 8.835 Å, 73.23 73.23 60.00°
Sites, in units of the cell vectors:
Ho  0.380  0.380  0.861
Ho  0.871  0.871  0.387
Ho  0.129  0.129  0.613
Ho  0.620  0.620  0.139
Cu  0.500  0.500  0.500
Ag  0.748  0.748  0.756
Ag  0.252  0.252  0.244
Hg  0.000  0.000  0.000

Summary:
Its crystal system is trigonal. Its energy of formation from the pure elements is -0.339 eV/atom. The calculation puts the size of the total moment at 0.00 μB/f.u.

---

8.
Computed, not measured: a geometry-optimized HoCuAgHg structure at the PBE-GGA level of DFT.

Cell: 4.823 4.823 4.823 Å, 60.00 60.00 60.00°
Sites, in units of the cell vectors:
Cu  0.000  0.000  0.000
Hg  0.250  0.250  0.250
Ag  0.500  0.500  0.500
Ho  0.750  0.750  0.750

Summary:
Its crystal system is cubic. Its energy of formation from the pure elements is -0.192 eV/atom. The calculation puts the size of the total moment at 0.00 μB/f.u.

---

9.
Computed, not measured: a geometry-optimized CuAg2HgI6 structure at the PBE-GGA level of DFT.

Cell: 8.367 7.550 9.006 Å, 53.45 64.38 56.19°
Sites, in units of the cell vectors:
Cu  0.300  0.349  0.975
Ag  0.668  0.494  0.312
Ag  0.041  0.969  0.062
Hg  0.674  0.834  0.674
I  0.665  0.155  0.266
I  0.315  0.908  0.228
I  0.024  0.510  0.222
I  0.322  0.780  0.783
I  0.615  0.210  0.735
I  0.038  0.452  0.758

Summary:
Its crystal system is triclinic. As for the raw formation energy: -0.166 eV/atom. The calculation puts the size of the total moment at 0.04 μB/f.u.

---

10.
Computed, not measured: a geometry-optimized InCuAgHg structure at the PBE-GGA level of DFT.

Cell: 4.772 4.772 4.772 Å, 60.00 60.00 60.00°
Sites, in units of the cell vectors:
Cu  0.250  0.250  0.250
Hg  0.000  0.000  0.000
Ag  0.750  0.750  0.750
In  0.500  0.500  0.500

Summary:
Its crystal system is cubic. Its energy of formation from the pure elements is 0.158 eV/atom. The calculation puts the size of the total moment at 0.00 μB/f.u.

---

11.
Computed, not measured: a geometry-optimized InCu2AgHg structure at the PBE-GGA level of DFT.

Cell: 4.892 5.190 4.892 Å, 90.00 90.00 90.00°
Sites, in units of the cell vectors:
Cu  0.000  0.000  0.500
Cu  0.500  0.000  0.000
Hg  0.500  0.500  0.500
Ag  0.000  0.000  0.000
In  0.000  0.500  0.000

Summary:
Its crystal system is tetragonal. Its energy of formation from the pure elements is 0.618 eV/atom. The calculation puts the size of the total moment at 0.00 μB/f.u.

---

12.
Computed, not measured: a geometry-optimized KCuAgHg2 structure at the PBE-GGA level of DFT.

Cell: 5.183 5.183 5.174 Å, 90.00 90.00 90.00°
Sites, in units of the cell vectors:
K  0.500  0.500  0.500
Cu  0.000  0.000  0.000
Hg  0.000  0.500  0.000
Hg  0.500  0.000  0.000
Ag  0.000  0.000  0.500

Summary:
Its crystal system is tetragonal. Its energy of formation from the pure elements is 0.006 eV/atom. The calculation puts the size of the total moment at 0.00 μB/f.u.

---

Asked for raw total energy across the records above, the calculation gives -1.60 -2.38 -2.41 -2.36 -2.40 -2.40 -3.89 -3.15 -2.11 -2.34 -2.20 -1.72 eV/atom in order.